<A>
The following is a DFT calculation (PBE) of a relaxed LaTi3Cu crystal.

Output
magnetic moment	0.002	μB per atom

```
LaTi3Cu
1.0
4.777 0.000 0.000
0.000 4.777 0.000
0.000 0.000 4.777
La Ti Cu
1 3 1
Direct
0.000 0.000 0.000 La
0.000 0.500 0.500 Ti
0.500 0.000 0.500 Ti
0.500 0.500 0.000 Ti
0.500 0.500 0.500 Cu
```



<B>
The following is a DFT calculation (PBE) of a relaxed LaTi3Cu crystal.

Output
magnetic moment	0.000	μB per atom

```
LaTi3Cu
1.0
4.758 0.000 0.000
0.000 4.758 0.000
0.000 0.000 4.758
La Ti Cu
1 3 1
Direct
0.000 0.000 0.000 La
0.000 0.000 0.500 Ti
0.000 0.500 0.000 Ti
0.500 0.000 0.000 Ti
0.500 0.500 0.500 Cu
```



<A> is preferred energetically. Next in line: 934 meV per atom higher.



<A>
The following is a DFT calculation (PBE) of a relaxed LaTl2Cu2 crystal.

Output
magnetic moment	0.000	μB per atom

```
LaTl2Cu2
1.0
8.413 0.000 0.000
0.000 8.413 0.000
0.000 0.000 3.223
La Tl Cu
2 4 4
Direct
0.000 0.000 0.000 La
0.500 0.500 0.000 La
0.134 0.366 0.000 Tl
0.366 0.866 0.000 Tl
0.634 0.134 0.000 Tl
0.866 0.634 0.000 Tl
0.163 0.663 0.500 Cu
0.337 0.163 0.500 Cu
0.663 0.837 0.500 Cu
0.837 0.337 0.500 Cu
```



<B>
The following is a DFT calculation (PBE) of a relaxed LaTl2Cu2 crystal.

Output
magnetic moment	0.000	μB per atom

```
LaTl2Cu2
1.0
-2.219 2.219 5.818
2.219 -2.219 5.818
2.219 2.219 -5.818
La Tl Cu
1 2 2
Direct
0.000 0.000 0.000 La
0.250 0.750 0.500 Tl
0.750 0.250 0.500 Tl
0.398 0.398 0.000 Cu
0.602 0.602 0.000 Cu
```



<B> is preferred energetically. Next in line: 253 meV per atom higher.